Record 1
# La2PmPa

La2PmPa after structural relaxation (PBE-GGA, Alexandria).

POSCAR file:
```
La2PmPa
1.0
5.0391 0.0000 0.0000
0.0000 5.0391 0.0000
0.0000 0.0000 4.9877
La Pm Pa
2 1 1
Cartesian
0.0000 2.5196 0.0000
2.5196 0.0000 0.0000
0.0000 0.0000 2.4938
2.5196 2.5196 2.4938
```

Its space-group type is P4/mmm, No. 123. Its formation energy is 266.9 meV/atom. Its electronic total energy is -23.03 eV for the cell shown. The density of states at the Fermi level is 7.32 states/eV per cell. Its offset from the most stable computed form is 132.4 meV per atom.

=====

Record 2
# LaPm2Pa

LaPm2Pa after structural relaxation (PBE-GGA, Alexandria).

POSCAR file:
```
LaPm2Pa
1.0
4.9981 0.0000 0.0000
0.0000 4.9981 0.0000
0.0000 0.0000 5.0687
La Pm Pa
1 2 1
Cartesian
0.0000 0.0000 0.0000
0.0000 2.4990 2.5343
2.4990 0.0000 2.5343
2.4990 2.4990 0.0000
```

Its space-group type is P4/mmm, No. 123. Its formation energy is 274.8 meV/atom. Its electronic total energy is -22.83 eV for the cell shown. The density of states at the Fermi level is 7.28 states/eV per cell. Its offset from the most stable computed form is 127.8 meV per atom.

=====

Record 3
# LaPmPaRh3

LaPmPaRh3 after structural relaxation (PBE-GGA, Alexandria).

POSCAR file:
```
LaPmPaRh3
1.0
3.4035 -7.3829 0.0000
3.4035 7.3829 0.0000
-2.7354 0.0000 5.6952
La Pm Pa Rh
2 2 2 6
Cartesian
1.3520 4.0731 4.2714
2.7196 -4.0731 1.4238
2.7196 1.3786 1.4238
1.3520 -1.3786 4.2714
2.7196 6.7558 1.4238
1.3520 -6.7558 4.2714
0.2616 1.2095 3.3035
2.7196 4.3038 1.4238
1.6292 -1.2095 0.4559
2.4424 1.2095 5.2393
1.3520 -4.3038 4.2714
3.8100 -1.2095 2.3917
```

Its space-group type is C2/c, No. 15. Its formation energy is -658.6 meV/atom. Its electronic total energy is -90.36 eV for the cell shown. The density of states at the Fermi level is 9.69 states/eV per cell.

=====

Record 4
# LaPmPa2Rh4

LaPmPa2Rh4 after structural relaxation (PBE-GGA, Alexandria).

POSCAR file:
```
LaPmPa2Rh4
1.0
0.0000 5.5848 4.2850
3.8074 0.0000 4.2850
3.8074 5.5848 0.0000
La Pm Pa Rh
1 1 2 4
Cartesian
0.0000 0.0000 0.0000
3.8074 5.5848 3.6446
1.9037 2.7924 2.0918
5.7111 8.3772 6.3768
3.8074 2.8771 4.3023
5.3090 5.5848 6.1420
3.8074 8.2925 4.3023
2.3058 5.5848 6.1420
```

Its space-group type is Fmm2, No. 42. Its formation energy is -639.7 meV/atom. Its electronic total energy is -63.19 eV for the cell shown. The density of states at the Fermi level is 7.64 states/eV per cell.

=====

Record 5
# LaPm2PaRu2

LaPm2PaRu2 after structural relaxation (PBE-GGA, Alexandria).

POSCAR file:
```
LaPm2PaRu2
1.0
-3.6375 6.7401 3.4432
3.6375 -6.7401 3.4432
3.6375 6.7401 -3.4432
La Pm Pa Ru
2 4 2 4
Cartesian
0.0000 0.0000 1.7216
0.0000 0.0000 5.1647
4.9801 2.6886 0.0000
1.3426 4.0515 0.0000
2.2949 2.6886 3.4432
-1.3426 4.0515 3.4432
3.6375 0.0000 1.7216
0.0000 6.7401 1.7216
2.1663 1.2768 0.0000
2.1663 -1.2768 3.4432
1.4712 8.0169 0.0000
1.4712 5.4632 3.4432
```

Its space-group type is Ibam, No. 72. Its formation energy is -251.9 meV/atom. Its electronic total energy is -87.97 eV for the cell shown. The density of states at the Fermi level is 13.48 states/eV per cell.

=====

Record 6
# LaPr2Pa

LaPr2Pa after structural relaxation (PBE-GGA, Alexandria).

POSCAR file:
```
LaPr2Pa
1.0
5.0277 0.0000 0.0000
0.0000 5.0277 0.0000
0.0000 0.0000 5.1096
La Pr Pa
1 2 1
Cartesian
0.0000 0.0000 0.0000
0.0000 2.5139 2.5548
2.5139 0.0000 2.5548
2.5139 2.5139 0.0000
```

Its space-group type is P4/mmm, No. 123. Its formation energy is 287.8 meV/atom. Its electronic total energy is -22.83 eV for the cell shown. The density of states at the Fermi level is 7.46 states/eV per cell. Its offset from the most stable computed form is 121.2 meV per atom.

=====

Record 7
# LaPr2Pa

LaPr2Pa after structural relaxation (PBE-GGA, Alexandria).

POSCAR file:
```
LaPr2Pa
1.0
3.4803 0.0000 0.0000
0.0000 3.4803 0.0000
0.0000 0.0000 10.8610
La Pr Pa
1 2 1
Cartesian
0.0000 0.0000 0.0000
1.7402 1.7402 3.0057
1.7402 1.7402 7.8554
0.0000 0.0000 5.4305
```

Its space-group type is P4/mmm, No. 123. Its formation energy is 166.5 meV/atom. Its electronic total energy is -23.32 eV for the cell shown. The density of states at the Fermi level is 5.75 states/eV per cell. Its offset from the most stable computed form is 0.0 meV per atom.

=====

Record 8
# LaPr2Pa

LaPr2Pa after structural relaxation (PBE-GGA, Alexandria).

POSCAR file:
```
LaPr2Pa
1.0
1.7135 0.9893 12.7138
-1.7135 0.9893 12.7138
0.0000 -1.9785 12.7138
La Pr Pa
1 2 1
Cartesian
0.0000 0.0000 0.0000
0.0000 0.0000 15.8255
0.0000 0.0000 22.3159
0.0000 0.0000 19.0707
```

Its space-group type is R-3m, No. 166. Its formation energy is 351.7 meV/atom. Its electronic total energy is -22.58 eV for the cell shown. The density of states at the Fermi level is 6.41 states/eV per cell. Its offset from the most stable computed form is 185.2 meV per atom.